Ta2SiHg after structural relaxation. Source: Alexandria, functional PBE.

Formation energy without anion corrections = 0.17 eV per atom
Raw total energy = -57.5 eV for the cell shown
Spin magnetization = 0.00 μB per cell
DOS(E_F) = 4.6 states/eV/cell

a b c (Å): 3.560 4.736 8.660
angles (deg): 90.00 90.00 90.00
Space group Cmm2 (No. 35)
One atom of each set of equivalent atoms:
1 Ta 0.000 0.000 0.000 x2
2 Ta 0.000 0.500 0.254 x2
3 Si 0.000 0.000 0.469 x2
4 Hg 0.000 0.500 0.729 x2

AcCdPt after structural relaxation. Source: Alexandria, functional PBE.

Raw total energy = -53.1 eV for the cell shown
Spin magnetization = 0.00 μB per cell
Relative energy among the computed polymorphs = 0.110 eV/atom
ΔH_f (0 K) = -214.0 kJ/mol of formula units
DOS(E_F) = 10.0 states/eV/cell

a b c (Å): 7.073 7.073 7.073
angles (deg): 90.00 90.00 90.00
Space group F-43m (No. 216)
One atom of each set of equivalent atoms:
1 Ac 0.000 0.000 0.000 x4
2 Cd 0.000 0.000 0.500 x4
3 Pt 0.250 0.250 0.250 x4

HfTa3Pd after structural relaxation. Source: Alexandria, functional PBE.

Raw total energy = -44.6 eV for the cell shown
Spin magnetization = 0.00 μB per cell
Relative energy among the computed polymorphs = 0.000 eV/atom
ΔH_f (0 K) = 592.5 kJ/mol of formula units
DOS(E_F) = 8.7 states/eV/cell

a b c (Å): 4.837 4.837 4.837
angles (deg): 90.00 90.00 90.00
Space group Pm-3m (No. 221)
One atom of each set of equivalent atoms:
1 Hf 0.000 0.000 0.000 x1
2 Ta 0.000 0.500 0.500 x3
3 Pd 0.500 0.500 0.500 x1

PuZrNiRu after structural relaxation. Source: Alexandria, functional PBE.

Raw total energy = -155.2 eV for the cell shown
Spin magnetization = 21.46 μB per cell
ΔH_f (0 K) = -82.1 kJ/mol of formula units
DOS(E_F) = 35.5 states/eV/cell

a b c (Å): 6.627 6.627 6.627
angles (deg): 90.00 90.00 90.00
Space group F-43m (No. 216)
One atom of each set of equivalent atoms:
1 Pu 0.000 0.000 0.000 x4
2 Zr 0.000 0.000 0.500 x4
3 Ni 0.250 0.250 0.750 x4
4 Ru 0.250 0.250 0.250 x4